No. 1
VASP calculation (PBE) on a relaxed structure of KInH6Ru.

Calculated total energy = -0.141 Ha/atom

Cell and atoms, written as CIF:
```
data_KInH6Ru
_cell_length_a 4.7319
_cell_length_b 4.7319
_cell_length_c 5.9936
_cell_angle_alpha 90.00
_cell_angle_beta 90.00
_cell_angle_gamma 120.00
_space_group_name_H-M_alt 'P 3 1 2'
_space_group_IT_number 149
loop_
_space_group_symop_operation_xyz
'x,y,z'
'-y,x-y,z'
'-x+y,-x,z'
'-y,-x,-z'
'-x+y,y,-z'
'x,x-y,-z'
loop_
_atom_site_label
_atom_site_fract_x
_atom_site_fract_y
_atom_site_fract_z
K1 0.0000 0.0000 0.0000
In1 0.3333 0.6667 0.5000
H1 0.3773 0.0892 0.6835
Ru1 0.6667 0.3333 0.5000
```

No. 2
VASP calculation (PBE) on a relaxed structure of CeSmAgAu.

Calculated total energy = -0.170 Ha/atom
Relative energy among the computed polymorphs = 11 meV/atom
ΔE_f = -421 meV/atom

Cell and atoms, written as CIF:
```
data_CeSmAgAu
_cell_length_a 7.402
_cell_length_b 7.402
_cell_length_c 7.402
_cell_angle_alpha 90.00
_cell_angle_beta 90.00
_cell_angle_gamma 90.00
_space_group_name_H-M_alt 'F -4 3 m'
_space_group_IT_number 216
_space_group_name_Hall 'F -4 2 3'
loop_
_atom_site_label
_atom_site_fract_x
_atom_site_fract_y
_atom_site_fract_z
Ce1 0.000 0.000 0.000
Sm1 0.000 0.000 0.500
Ag1 0.250 0.250 0.250
Au1 0.250 0.250 0.750
```

No. 3
VASP calculation (PBE) on a relaxed structure of AlRe2W.

Calculated total energy = -0.383 Ha/atom
ΔE_f = -23 meV/atom

Cell and atoms, written as CIF:
```
data_AlRe2W
_cell_length_a 2.756
_cell_length_b 4.323
_cell_length_c 5.224
_cell_angle_alpha 90.00
_cell_angle_beta 104.11
_cell_angle_gamma 90.00
_space_group_name_H-M_alt 'P 1 m 1'
_space_group_IT_number 6
loop_
_space_group_symop_operation_xyz
'x,y,z'
'x,-y,z'
loop_
_atom_site_label
_atom_site_fract_x
_atom_site_fract_y
_atom_site_fract_z
Al1 0.000 0.000 0.000
Re1 0.511 0.000 0.495
Re2 0.786 0.500 0.249
W1 0.324 0.500 0.759
```

No. 4
VASP calculation (PBE) on a relaxed structure of TbPmYCd.

Calculated total energy = -0.160 Ha/atom
Relative energy among the computed polymorphs = 0 meV/atom
ΔE_f = -157 meV/atom

Cell and atoms, written as CIF:
```
data_TbPmYCd
_cell_length_a 3.635
_cell_length_b 3.635
_cell_length_c 9.054
_cell_angle_alpha 90.00
_cell_angle_beta 90.00
_cell_angle_gamma 90.00
_space_group_name_H-M_alt 'P 4 m m'
_space_group_IT_number 99
loop_
_space_group_symop_operation_xyz
'x,y,z'
'-y,x,z'
'-x,-y,z'
'y,-x,z'
'-x,y,z'
'y,x,z'
'x,-y,z'
'-y,-x,z'
loop_
_atom_site_label
_atom_site_fract_x
_atom_site_fract_y
_atom_site_fract_z
Tb1 0.000 0.000 0.000
Pm1 0.500 0.500 0.276
Y1 0.000 0.000 0.556
Cd1 0.500 0.500 0.777
```